The following is a PBE calculation of a relaxed Ac3Cd3Hg2 crystal, from Alexandria.

Properties
- Space group: P-62m, No. 189
- Energy relative to the elements: -0.342 eV per atom
- Energy relative to the lowest polymorph listed for this composition: 21 meV/atom
- Calculated total energy: -18.4 eV per cell

Unit cell a=8.243 b=8.243 c=4.359 alpha=90.00 beta=90.00 gamma=120.00
Positions (direct):
Ac: 0.000 0.606 0.000
Ac: 0.394 0.394 0.000
Ac: 0.606 0.000 0.000
Cd: 0.000 0.223 0.500
Cd: 0.223 0.000 0.500
Cd: 0.777 0.777 0.500
Hg: 0.333 0.667 0.500
Hg: 0.667 0.333 0.500